# LaCuReTc, optimized geometry, DFT PBE
data_LaCuReTc
_chemical_formula_sum 'La4 Cu4 Re4 Tc4'
_symmetry_space_group_name_H-M 'F -4 3 m'
_symmetry_Int_Tables_number 216
_symmetry_space_group_name_Hall 'F -4 2 3'
_cell_length_a 6.5685
_cell_length_b 6.5685
_cell_length_c 6.5685
_cell_angle_alpha 90.00
_cell_angle_beta 90.00
_cell_angle_gamma 90.00
loop_
_atom_site_label
_atom_site_type_symbol
_atom_site_fract_x
_atom_site_fract_y
_atom_site_fract_z
La1 La 0.0000 0.0000 0.0000
Cu1 Cu 0.2500 0.2500 0.7500
Re1 Re 0.2500 0.2500 0.2500
Tc1 Tc 0.0000 0.0000 0.5000
# Total moment: 0.00 μB/f.u.
# Energy above the most stable polymorph in this dataset: 1.8 meV per atom
# ΔE_f: 0.51 eV/atom

---

# LaTmFe, optimized geometry, DFT PBE
data_LaTmFe
_chemical_formula_sum 'La4 Tm4 Fe4'
_symmetry_space_group_name_H-M 'F -4 3 m'
_symmetry_Int_Tables_number 216
_symmetry_space_group_name_Hall 'F -4 2 3'
_cell_length_a 6.6891
_cell_length_b 6.6891
_cell_length_c 6.6891
_cell_angle_alpha 90.00
_cell_angle_beta 90.00
_cell_angle_gamma 90.00
loop_
_atom_site_label
_atom_site_type_symbol
_atom_site_fract_x
_atom_site_fract_y
_atom_site_fract_z
La1 La 0.0000 0.0000 0.0000
Tm1 Tm 0.0000 0.0000 0.5000
Fe1 Fe 0.2500 0.2500 0.2500
# Total moment: 0.23 μB/f.u.
# Energy above the most stable polymorph in this dataset: 0.0 meV per atom
# ΔE_f: 0.20 eV/atom

---

# Ag2SbAu, optimized geometry, DFT PBE
data_Ag2SbAu
_chemical_formula_sum 'Ag8 Sb4 Au4'
_symmetry_space_group_name_H-M 'F -4 3 m'
_symmetry_Int_Tables_number 216
_symmetry_space_group_name_Hall 'F -4 2 3'
_cell_length_a 6.8137
_cell_length_b 6.8137
_cell_length_c 6.8137
_cell_angle_alpha 90.00
_cell_angle_beta 90.00
_cell_angle_gamma 90.00
loop_
_atom_site_label
_atom_site_type_symbol
_atom_site_fract_x
_atom_site_fract_y
_atom_site_fract_z
Ag1 Ag 0.0000 0.0000 0.0000
Ag2 Ag 0.2500 0.2500 0.2500
Sb1 Sb 0.0000 0.0000 0.5000
Au1 Au 0.2500 0.2500 0.7500
# Calculated total energy: -3.1857 eV/atom

---

# LuTeMo, optimized geometry, DFT PBE
data_LuTeMo
_chemical_formula_sum 'Lu4 Te4 Mo4'
_symmetry_space_group_name_H-M 'F -4 3 m'
_symmetry_Int_Tables_number 216
_symmetry_space_group_name_Hall 'F -4 2 3'
_cell_length_a 6.5671
_cell_length_b 6.5671
_cell_length_c 6.5671
_cell_angle_alpha 90.00
_cell_angle_beta 90.00
_cell_angle_gamma 90.00
loop_
_atom_site_label
_atom_site_type_symbol
_atom_site_fract_x
_atom_site_fract_y
_atom_site_fract_z
Lu1 Lu 0.0000 0.0000 0.0000
Te1 Te 0.0000 0.0000 0.5000
Mo1 Mo 0.2500 0.2500 0.2500
# Total moment: 1.18 μB/f.u.
# Energy above the most stable polymorph in this dataset: 0.0 meV per atom

---

# Y2FeHgC, optimized geometry, DFT PBE
data_Y2FeHgC
_chemical_formula_sum 'Y2 Fe1 Hg1 C1'
_symmetry_space_group_name_H-M 'P 4/m m m'
_symmetry_Int_Tables_number 123
_symmetry_space_group_name_Hall '-P 4 2'
_cell_length_a 5.0437
_cell_length_b 5.0437
_cell_length_c 3.7138
_cell_angle_alpha 90.00
_cell_angle_beta 90.00
_cell_angle_gamma 90.00
loop_
_atom_site_label
_atom_site_type_symbol
_atom_site_fract_x
_atom_site_fract_y
_atom_site_fract_z
Y1 Y 0.0000 0.5000 0.0000
Fe1 Fe 0.0000 0.0000 0.5000
Hg1 Hg 0.5000 0.5000 0.5000
C1 C 0.0000 0.0000 0.0000
# Total moment: 0.16 μB/f.u.
# Calculated total energy: -6.5352 eV/atom

---

# Co8Re5, optimized geometry, DFT PBE
data_Co8Re5
_chemical_formula_sum 'Co24 Re15'
_symmetry_space_group_name_H-M 'R -3 m'
_symmetry_Int_Tables_number 166
_symmetry_space_group_name_Hall '-R 3 2"'
_cell_length_a 4.6231
_cell_length_b 4.6231
_cell_length_c 25.4865
_cell_angle_alpha 90.00
_cell_angle_beta 90.00
_cell_angle_gamma 120.00
loop_
_atom_site_label
_atom_site_type_symbol
_atom_site_fract_x
_atom_site_fract_y
_atom_site_fract_z
Co1 Co 0.0000 0.0000 0.1527
Co2 Co 0.0053 0.5027 0.9103
Re1 Re 0.0000 0.0000 0.0487
Re2 Re 0.0000 0.0000 0.3392
Re3 Re 0.0000 0.0000 0.5000
# Total moment: 0.07 μB/f.u.
# Energy above the most stable polymorph in this dataset: 27.9 meV per atom
# ΔE_f: 0.09 eV/atom